# 1
A geometry-optimized Mn2HPdRu structure, computed with PBE.

Computed properties:
The size of the total moment is 0.003 μB per cell. Its crystal system is tetragonal. The polymorph energy (0 for the lowest one) comes out at 21.9 meV per atom. Its electronic total energy is -7.0592 eV per atom.

Lattice parameters (Å, degrees): 3.757 3.757 3.749 90.00 90.00 90.00
Sites, in units of the cell vectors:
Pd: 0.500 0.500 0.500
Ru: 0.000 0.000 0.500
H: 0.000 0.000 0.000
Mn: 0.000 0.500 0.000
Mn: 0.500 0.000 0.000

***

# 2
A geometry-optimized MnRuI2 structure, computed with PBE.

Computed properties:
The size of the total moment is 0.000 μB per cell. Its crystal system is tetragonal. The polymorph energy (0 for the lowest one) comes out at 126.3 meV per atom. Its electronic total energy is -4.4543 eV per atom. The formation energy without anion corrections comes out at 0.932 eV/atom.

Lattice parameters (Å, degrees): 5.873 5.873 7.138 65.71 65.71 90.00
Sites, in units of the cell vectors:
I: 0.875 0.860 0.750
I: 0.610 0.125 0.250
I: 0.140 0.625 0.250
I: 0.375 0.390 0.750
Mn: 0.250 0.750 0.500
Mn: 0.500 0.500 0.000
Ru: 0.750 0.250 0.500
Ru: 0.000 0.000 0.000

***

# 3
A geometry-optimized La2TaHg structure, computed with PBE.

Computed properties:
The size of the total moment is 0.592 μB per cell. Its crystal system is monoclinic. As for the formation energy: 0.26 eV per atom. Its electronic total energy is -5.2428 eV per atom.

Lattice parameters (Å, degrees): 3.628 3.628 10.509 85.95 85.95 53.20
Sites, in units of the cell vectors:
La: 0.985 0.985 0.983
La: 0.515 0.515 0.517
Ta: 0.750 0.750 0.750
Hg: 0.250 0.250 0.250

***

# 4
A geometry-optimized La2HoTmSc structure, computed with PBE.

Computed properties:
The size of the total moment is 0.000 μB per cell. Its crystal system is orthorhombic. As for the formation energy: 0.39 eV per atom. Its electronic total energy is -4.6591 eV per atom.

Lattice parameters (Å, degrees): 7.287 8.184 7.020 125.65 90.00 90.00
Sites, in units of the cell vectors:
La: 0.000 0.301 0.000
La: 0.500 0.699 0.000
La: 0.000 0.699 0.000
La: 0.500 0.301 0.000
Sc: 0.750 0.007 0.015
Sc: 0.250 0.993 0.985
Tm: 0.250 0.258 0.516
Tm: 0.750 0.742 0.484
Ho: 0.750 0.268 0.536
Ho: 0.250 0.732 0.464